Record 1
Crystalline ThNb2B6 at its relaxed geometry, computed with GGA-PBE.

Cell lengths 5.879, 5.879, 5.879 Å; angles 147.96, 103.41, 85.44 degrees
Fractional positions:
Th1 0.000 0.000 0.000
Nb1 0.346 0.846 0.500
Nb2 0.654 0.154 0.500
B1 0.067 0.305 0.762
B2 0.328 0.500 0.828
B3 0.457 0.695 0.762
B4 0.543 0.305 0.238
B5 0.672 0.500 0.172
B6 0.933 0.695 0.238

Output
As for the total moment: 0.00 μB per atom. As for the density of states at the Fermi level: 0.268 states/eV/atom. The energy of formation is -0.567 eV per atom.

***

Record 2
Crystalline ThNb2B6 at its relaxed geometry, computed with GGA-PBE.

Cell lengths 5.488, 5.488, 3.796 Å; angles 90.00, 90.00, 120.00 degrees
Fractional positions:
Th1 0.000 0.000 0.000
Nb1 0.333 0.667 0.000
Nb2 0.667 0.333 0.000
B1 0.000 0.342 0.500
B2 0.000 0.658 0.500
B3 0.342 0.000 0.500
B4 0.342 0.342 0.500
B5 0.658 0.000 0.500
B6 0.658 0.658 0.500

Output
As for the total moment: 0.00 μB per atom. As for the density of states at the Fermi level: 0.576 states/eV/atom. The energy of formation is -0.447 eV per atom.

***

Record 3
Crystalline ThNbB4 at its relaxed geometry, computed with GGA-PBE.

Cell lengths 6.183, 11.982, 3.835 Å; angles 90.00, 90.00, 90.00 degrees
Fractional positions:
Th1 0.126 0.151 0.000
Th2 0.374 0.651 0.000
Th3 0.626 0.349 0.000
Th4 0.874 0.849 0.000
Nb1 0.131 0.415 0.000
Nb2 0.369 0.915 0.000
Nb3 0.631 0.085 0.000
Nb4 0.869 0.585 0.000
B1 0.025 0.691 0.500
B2 0.112 0.546 0.500
B3 0.136 0.968 0.500
B4 0.214 0.814 0.500
B5 0.286 0.314 0.500
B6 0.364 0.468 0.500
B7 0.388 0.046 0.500
B8 0.475 0.191 0.500
B9 0.525 0.809 0.500
B10 0.612 0.954 0.500
B11 0.636 0.532 0.500
B12 0.714 0.686 0.500
B13 0.786 0.186 0.500
B14 0.864 0.032 0.500
B15 0.888 0.454 0.500
B16 0.975 0.309 0.500

Output
As for the total moment: 0.00 μB per atom. As for the density of states at the Fermi level: 0.322 states/eV/atom. The energy of formation is -0.619 eV per atom.